VASP calculation (PBE) on crystalline NaY2BeP at its relaxed geometry.

Computed properties:
The value obtained for the formation energy is 0.0842 eV/atom. For the theoretical density, the calculation gives 3.58 g/cm3. As for the total moment: 0.000 μB/atom. As for the space group: P4/mmm.

a = 5.2583 Å, b = 4.0443 Å, c = 5.2583 Å
α = 90.00°, β = 90.00°, γ = 90.00°
Last column: nearest neighbours and their distance in Å.
Atoms (fractional coordinates):
Na1 0.5000 0.5000 0.5000  8 Y 3.32
Y1 0.5000 0.0000 0.0000  2 Be 2.63
Y2 0.0000 0.0000 0.5000  2 Be 2.63
P1 0.0000 0.5000 0.0000  2 Be 2.02
Be1 0.0000 0.0000 0.0000  2 P 2.02

VASP calculation (PBE) on crystalline AsH at its relaxed geometry.

Computed properties:
The value obtained for the distance to the lowest polymorph of the same formula is 184.8 meV per atom. For the theoretical density, the calculation gives 3.02 g/cm3. As for the total moment: 0.000 μB/atom. As for the space group: Pmmn.

a = 3.4899 Å, b = 5.8754 Å, c = 12.2286 Å
α = 90.00°, β = 90.00°, γ = 90.00°
Last column: nearest neighbours and their distance in Å.
Atoms (fractional coordinates):
As1 0.5000 0.9765 0.6858  2 As 2.36
As2 0.0000 0.0235 0.1858  2 As 2.36
As3 0.0000 0.0235 0.8142  2 As 2.36
As4 0.5000 0.9765 0.3142  2 As 2.36
As5 0.5000 0.5884 0.0000  2 H 1.54
As6 0.0000 0.4116 0.5000  2 H 1.54
H1 0.5000 0.4081 0.0914  1 As 1.54
H2 0.0000 0.6344 0.0000  2 As 1.77
H3 0.5000 0.4081 0.9086  1 As 1.54
H4 0.5000 0.3656 0.5000  2 As 1.77
H5 0.0000 0.5919 0.4086  1 As 1.54
H6 0.0000 0.5919 0.5914  1 As 1.54

VASP calculation (PBE) on crystalline Ce2ScGa6 at its relaxed geometry.

Computed properties:
The value obtained for the formation energy is -0.5256 eV/atom. For the theoretical density, the calculation gives 6.57 g/cm3. As for the total moment: 0.202 μB/atom. As for the space group: P-3m1.

a = 5.7188 Å, b = 6.1601 Å, c = 6.1603 Å
α = 120.00°, β = 90.00°, γ = 90.00°
Last column: nearest neighbours and their distance in Å.
Atoms (fractional coordinates):
Ga1 0.3397 0.3703 0.1852  4 Ga 2.70-2.74, 1 Sc 2.77
Ga2 0.3396 0.8148 0.6296  4 Ga 2.70-2.74, 1 Sc 2.77
Ga3 0.6603 0.1851 0.8148  4 Ga 2.70-2.74, 1 Sc 2.77
Ga4 0.3397 0.8149 0.1852  4 Ga 2.70-2.74, 1 Sc 2.77
Ga5 0.6604 0.1852 0.3704  4 Ga 2.70-2.74, 1 Sc 2.77
Ga6 0.6603 0.6297 0.8148  4 Ga 2.70-2.74, 1 Sc 2.77
Sc1 0.0000 0.0000 0.0000  6 Ga 2.77
Ce1 0.1546 0.3333 0.6667  12 Ga 3.24-3.30
Ce2 0.8454 0.6667 0.3333  12 Ga 3.24-3.30

VASP calculation (PBE) on crystalline TbZr3Zn4 at its relaxed geometry.

Computed properties:
The value obtained for the formation energy is -0.2518 eV/atom. For the theoretical density, the calculation gives 7.35 g/cm3. As for the total moment: 0.000 μB/atom. As for the space group: R-3m.

a = 4.8046 Å, b = 4.8046 Å, c = 8.3173 Å
α = 73.21°, β = 73.21°, γ = 60.00°
Last column: nearest neighbours and their distance in Å.
Atoms (fractional coordinates):
Tb1 0.0000 0.0000 0.0000  8 Zn 2.95-2.96
Zr1 0.7530 0.7530 0.7410  8 Zn 2.85-3.04
Zr2 0.2470 0.2470 0.2590  8 Zn 2.85-3.04
Zr3 0.5000 0.5000 0.5000  8 Zn 2.91-2.94
Zn1 0.6237 0.6237 0.1290  5 Zr 2.91-3.04, 3 Tb 2.95
Zn2 0.8743 0.8743 0.3770  7 Zr 2.85-2.94, 1 Tb 2.96
Zn3 0.3763 0.3763 0.8710  5 Zr 2.91-3.04, 3 Tb 2.95
Zn4 0.1257 0.1257 0.6230  7 Zr 2.85-2.94, 1 Tb 2.96

VASP calculation (PBE) on crystalline InSeI2N at its relaxed geometry.

Computed properties:
The value obtained for the distance to the lowest polymorph of the same formula is 428.1 meV per atom. Its formation energy from raw total energies is 951 meV/atom. For the theoretical density, the calculation gives 5.17 g/cm3. As for the total moment: 0.109 μB/atom. As for the space group: P4/mmm.

a = 6.0738 Å, b = 6.0738 Å, c = 4.0154 Å
α = 90.00°, β = 90.00°, γ = 90.00°
Last column: nearest neighbours and their distance in Å.
Atoms (fractional coordinates):
I1 0.0000 0.5000 0.0000  2 In 3.04
I2 0.5000 0.0000 0.0000  2 In 3.04
N1 0.0000 0.0000 0.5000  2 In 2.01
Se1 0.5000 0.5000 0.5000  8 I 3.64, 2 Se 4.02
In1 0.0000 0.0000 0.0000  2 N 2.01

VASP calculation (PBE) on crystalline Tb4DyEr3S8 at its relaxed geometry.

Computed properties:
Its formation energy from raw total energies is -1983 meV/atom. For the theoretical density, the calculation gives 7.70 g/cm3. As for the total moment: 0.000 μB/atom. As for the space group: R-3m.

a = 7.7936 Å, b = 7.8109 Å, c = 7.7940 Å
α = 119.93°, β = 120.00°, γ = 90.00°
Last column: nearest neighbours and their distance in Å.
Atoms (fractional coordinates):
Er1 0.5000 0.5000 0.5000  6 S 2.73
Er2 0.0000 0.5000 0.5000  6 S 2.73
Er3 0.5000 0.5000 0.0000  6 S 2.73
Tb1 0.0000 0.0000 0.5000  6 S 2.78
Tb2 0.5000 0.0000 0.5000  6 S 2.78
Tb3 0.5000 0.0000 0.0000  6 S 2.77
Tb4 0.0000 0.0000 0.0000  6 S 2.78
Dy1 0.0000 0.5000 0.0000  6 S 2.75
S1 0.7463 0.7448 0.9956  2 Er 2.73, 1 Dy 2.75, 3 Tb 2.77-2.78
S2 0.7508 0.2552 0.0044  2 Er 2.73, 1 Dy 2.75, 3 Tb 2.77-2.78
S3 0.7478 0.7434 0.4956  3 Er 2.73, 3 Tb 2.78
S4 0.2522 0.2566 0.5044  3 Er 2.73, 3 Tb 2.78
S5 0.2492 0.7448 0.4985  2 Er 2.73, 1 Dy 2.75, 3 Tb 2.77-2.78
S6 0.7508 0.2552 0.5015  2 Er 2.73, 1 Dy 2.75, 3 Tb 2.77-2.78
S7 0.2537 0.2552 0.0044  2 Er 2.73, 1 Dy 2.75, 3 Tb 2.77-2.78
S8 0.2492 0.7448 0.9956  2 Er 2.73, 1 Dy 2.75, 3 Tb 2.77-2.78

VASP calculation (PBE) on crystalline BaAgMo2 at its relaxed geometry.

Computed properties:
The value obtained for the formation energy is 1.0570 eV/atom. The value obtained for the distance to the lowest polymorph of the same formula is 531.9 meV per atom. For the theoretical density, the calculation gives 6.92 g/cm3. As for the total moment: 0.000 μB/atom. As for the space group: P2/m.

a = 5.9752 Å, b = 3.2929 Å, c = 5.3329 Å
α = 91.27°, β = 90.00°, γ = 90.00°
Last column: nearest neighbours and their distance in Å.
Atoms (fractional coordinates):
Ag1 0.5000 0.2500 0.2500  4 Ba 3.10-3.16, 2 Ag 3.29
Mo1 0.0000 0.4726 0.5871  2 Mo 2.30-2.49
Mo2 0.0000 0.0274 0.9129  2 Mo 2.30-2.49
Ba1 0.5000 0.7500 0.7500  4 Ag 3.10-3.16, 4 Mo 3.24, 2 Ba 3.29

VASP calculation (PBE) on crystalline Na2PaCuSe4 at its relaxed geometry.

Computed properties:
Its formation energy from raw total energies is -1011 meV/atom. For the theoretical density, the calculation gives 5.54 g/cm3. As for the total moment: 0.008 μB/atom. As for the space group: P2/m.

a = 4.2554 Å, b = 6.4761 Å, c = 7.4294 Å
α = 105.92°, β = 90.00°, γ = 90.00°
Last column: nearest neighbours and their distance in Å.
Atoms (fractional coordinates):
Se1 0.5000 0.7354 0.7552  1 Pa 2.67, 3 Na 2.88-2.98
Se2 0.0000 0.2395 0.7952  1 Cu 2.45
Se3 0.0000 0.7605 0.2048  1 Cu 2.45
Se4 0.5000 0.2646 0.2448  1 Pa 2.67, 3 Na 2.88-2.98
Pa1 0.5000 0.5000 0.0000  6 Se 2.67-2.88
Cu1 0.0000 0.0000 0.0000  2 Se 2.45
Na1 0.0000 0.5000 0.5000  6 Se 2.98-3.11
Na2 0.5000 0.0000 0.5000  6 Se 2.88-3.14

Number 1: final energy -4.59 eV per atom, calculated volume 22.36 Å³ per atom. Number 2: final energy -3.76 eV per atom, calculated volume 20.90 Å³ per atom. Number 3: final energy -4.57 eV per atom, calculated volume 20.88 Å³ per atom. Number 4: final energy -4.67 eV per atom, calculated volume 19.59 Å³ per atom. Number 5: final energy -2.58 eV per atom, calculated volume 29.63 Å³ per atom. Number 6: final energy -6.35 eV per atom, calculated volume 20.99 Å³ per atom. Number 7: final energy -5.55 eV per atom, calculated volume 26.23 Å³ per atom. Number 8: final energy -4.78 eV per atom, calculated volume 24.61 Å³ per atom.